[1]
# Cu2Pd3Pt3

A geometry-optimized Cu2Pd3Pt3 structure (PBE, the Alexandria database).

Cell lengths 3.8653, 3.8942, 7.8432 Å; angles 90.00, 90.00, 90.00 degrees
With the nearest neighbours (Å) after each atom.
Fractional positions:
Cu: 0.0000 0.0000 0.2498  6 Pd 2.74-2.75, 6 Pt 2.75-2.76
Cu: 0.0000 0.0000 0.7502  6 Pd 2.74-2.75, 6 Pt 2.75-2.76
Pt: 0.5000 0.0000 0.5000  4 Pt 2.74, 4 Cu 2.75, 4 Pd 2.77
Pt: 0.0000 0.5000 0.0000  8 Pd 2.74-2.75, 4 Cu 2.76
Pt: 0.0000 0.5000 0.5000  4 Pt 2.74, 4 Pd 2.76, 4 Cu 2.76
Pd: 0.5000 0.0000 0.0000  4 Pt 2.74, 4 Cu 2.75, 4 Pd 2.76
Pd: 0.5000 0.5000 0.7504  4 Cu 2.74, 6 Pt 2.75-2.77, 2 Pd 2.76
Pd: 0.5000 0.5000 0.2496  4 Cu 2.74, 6 Pt 2.75-2.77, 2 Pd 2.76

Output
E, eV/atom: -5.322
Size of the total moment, μB/f.u.: 0.00

[2]
# Cu2Pd5Pt5

A geometry-optimized Cu2Pd5Pt5 structure (PBE, the Alexandria database).

Cell lengths 3.9152, 6.2054, 8.7360 Å; angles 115.11, 90.00, 108.39 degrees
With the nearest neighbours (Å) after each atom.
Fractional positions:
Pd: 0.5796 0.1592 0.2499  3 Pd 2.74-2.80, 2 Cu 2.74, 7 Pt 2.77-2.83
Pd: 0.6681 0.3361 0.0008  5 Pt 2.74-2.78, 4 Pd 2.75-2.80, 3 Cu 2.76-2.77
Pd: 0.5000 0.0000 0.5000  2 Pd 2.74, 6 Pt 2.74-2.76, 4 Cu 2.77
Pd: 0.3319 0.6639 0.9992  5 Pt 2.74-2.78, 4 Pd 2.75-2.80, 3 Cu 2.76-2.77
Pd: 0.4204 0.8408 0.7501  3 Pd 2.74-2.80, 2 Cu 2.74, 7 Pt 2.77-2.83
Pt: 0.2537 0.5074 0.2509  6 Pd 2.74-2.83, 2 Cu 2.75, 4 Pt 2.75-2.81
Pt: 0.8344 0.6689 0.4983  2 Cu 2.74-2.77, 5 Pt 2.75-2.81, 5 Pd 2.76-2.81
Pt: 0.0000 0.0000 0.0000  2 Cu 2.76, 8 Pd 2.77-2.78, 2 Pt 2.81
Pt: 0.7463 0.4926 0.7491  6 Pd 2.74-2.83, 2 Cu 2.75, 4 Pt 2.75-2.81
Pt: 0.1656 0.3311 0.5017  2 Cu 2.74-2.77, 5 Pt 2.75-2.81, 5 Pd 2.76-2.81
Cu: 0.9168 0.8335 0.2499  7 Pd 2.74-2.77, 5 Pt 2.74-2.77
Cu: 0.0832 0.1665 0.7501  7 Pd 2.74-2.77, 5 Pt 2.74-2.77

Output
Excess energy over the best structure of this formula in the dataset, meV per atom: 3.7
Size of the total moment, μB/f.u.: 0.00

[3]
# Cu3PdPt3

A geometry-optimized Cu3PdPt3 structure (PBE, the Alexandria database).

Cell lengths 5.2338, 5.2338, 5.2338 Å; angles 109.71, 109.71, 109.71 degrees
With the nearest neighbours (Å) after each atom.
Fractional positions:
Pd: 0.0947 0.0947 0.0947  6 Pt 2.62-2.65, 3 Cu 2.79
Cu: 0.5300 0.5300 0.0435  6 Pt 2.58-2.64, 1 Pd 2.79
Cu: 0.5300 0.0435 0.5300  6 Pt 2.58-2.64, 1 Pd 2.79
Cu: 0.0435 0.5300 0.5300  6 Pt 2.58-2.64, 1 Pd 2.79
Pt: 0.0274 0.5465 0.0274  6 Cu 2.58-2.64, 2 Pd 2.62-2.65
Pt: 0.5465 0.0274 0.0274  6 Cu 2.58-2.64, 2 Pd 2.62-2.65
Pt: 0.0274 0.0274 0.5465  6 Cu 2.58-2.64, 2 Pd 2.62-2.65

Output
Excess energy over the best structure of this formula in the dataset, meV per atom: 0.0
Size of the total moment, μB/f.u.: 0.00

[4]
# Cu3Pd3Pt2

A geometry-optimized Cu3Pd3Pt2 structure (PBE, the Alexandria database).

Cell lengths 3.7251, 3.9319, 8.2802 Å; angles 103.73, 103.00, 90.00 degrees
With the nearest neighbours (Å) after each atom.
Fractional positions:
Pd: 0.5000 0.0000 0.0000  8 Cu 2.68-2.71, 4 Pd 2.73
Pd: 0.3793 0.3793 0.7585  6 Cu 2.65-2.71, 2 Pd 2.73, 4 Pt 2.78-2.79
Pd: 0.6207 0.6207 0.2415  6 Cu 2.65-2.71, 2 Pd 2.73, 4 Pt 2.78-2.79
Cu: 0.0000 0.5000 0.0000  8 Pd 2.65-2.71, 4 Cu 2.75
Cu: 0.1227 0.1227 0.2455  6 Pd 2.68-2.71, 4 Pt 2.68-2.84, 2 Cu 2.75
Cu: 0.8773 0.8773 0.7545  6 Pd 2.68-2.71, 4 Pt 2.68-2.84, 2 Cu 2.75
Pt: 0.7463 0.2463 0.4926  4 Cu 2.68-2.84, 4 Pt 2.71, 4 Pd 2.78-2.79
Pt: 0.2537 0.7537 0.5074  4 Cu 2.68-2.84, 4 Pt 2.71, 4 Pd 2.78-2.79

Output
E, eV/atom: -5.089
Size of the total moment, μB/f.u.: 0.00